No. 1
# Pu2Tl5Br12 | the Alexandria database | PBE | optimized geometry
# * raw total energy: -4.281 eV/atom
# * ρ: 5219 kg/m³
# * uncorrected formation energy: -1.093 eV per atom
data_Pu2Tl5Br12
_space_group_name_H-M_alt 'C 1 2/m 1'
_space_group_IT_number 12
_cell_length_a 18.168
_cell_length_b 8.573
_cell_length_c 10.644
_cell_angle_alpha 90.00
_cell_angle_beta 108.64
_cell_angle_gamma 90.00
loop_
_space_group_symop_operation_xyz
'x,y,z'
'-x,-y,-z'
'-x,y,-z'
'x,-y,z'
'x+1/2,y+1/2,z'
'-x+1/2,-y+1/2,-z'
'-x+1/2,y+1/2,-z'
'x+1/2,-y+1/2,z'
loop_
_atom_site_label
_atom_site_fract_x
_atom_site_fract_y
_atom_site_fract_z
Pu1 0.000 0.249 0.000
Tl1 0.000 0.500 0.500
Tl2 0.182 0.000 0.777
Tl3 0.217 0.000 0.378
Br1 0.007 0.000 0.186
Br2 0.009 0.500 0.183
Br3 0.143 0.246 0.554
Br4 0.158 0.243 0.068

---

No. 2
# Pu2TlBr | the Alexandria database | PBE | optimized geometry
# * polymorph energy (0 for the lowest one): 192 meV/atom
# * raw total energy: -8.375 eV/atom
# * ρ: 11930 kg/m³
# * uncorrected formation energy: -0.200 eV per atom
data_Pu2TlBr
_space_group_name_H-M_alt 'F m -3 m'
_space_group_IT_number 225
_space_group_name_Hall '-F 4 2 3'
_cell_length_a 7.548
_cell_length_b 7.548
_cell_length_c 7.548
_cell_angle_alpha 90.00
_cell_angle_beta 90.00
_cell_angle_gamma 90.00
loop_
_atom_site_label
_atom_site_fract_x
_atom_site_fract_y
_atom_site_fract_z
Pu1 0.250 0.250 0.250
Tl1 0.000 0.000 0.000
Br1 0.000 0.000 0.500

---

No. 3
# TmPuTlBr6 | the Alexandria database | PBE | optimized geometry
# * raw total energy: -4.965 eV/atom
# * ρ: 5193 kg/m³
# * uncorrected formation energy: -1.498 eV per atom
data_TmPuTlBr6
_space_group_name_H-M_alt 'P -3 1 c'
_space_group_IT_number 163
_space_group_name_Hall '-P 3 2c'
_cell_length_a 7.4619
_cell_length_b 7.4619
_cell_length_c 14.5448
_cell_angle_alpha 90.00
_cell_angle_beta 90.00
_cell_angle_gamma 120.00
loop_
_atom_site_label
_atom_site_fract_x
_atom_site_fract_y
_atom_site_fract_z
Tm1 0.3333 0.6667 0.2500
Pu1 0.3333 0.6667 0.7500
Tl1 0.0000 0.0000 0.0000
Br1 0.0206 0.3761 0.1373

---

No. 4
# PuUTl2Br8 | the Alexandria database | PBE | optimized geometry
# * raw total energy: -4.861 eV/atom
# * ρ: 5202 kg/m³
# * uncorrected formation energy: -1.216 eV per atom
data_PuUTl2Br8
_space_group_name_H-M_alt 'P 1 2/m 1'
_space_group_IT_number 10
_cell_length_a 7.155
_cell_length_b 8.948
_cell_length_c 7.634
_cell_angle_alpha 90.00
_cell_angle_beta 92.22
_cell_angle_gamma 90.00
loop_
_space_group_symop_operation_xyz
'x,y,z'
'-x,-y,-z'
'-x,y,-z'
'x,-y,z'
loop_
_atom_site_label
_atom_site_fract_x
_atom_site_fract_y
_atom_site_fract_z
Pu1 0.000 0.000 0.000
U1 0.000 0.500 0.000
Tl1 0.500 0.248 0.500
Br1 0.209 0.500 0.319
Br2 0.226 0.000 0.319
Br3 0.228 0.256 0.872